i) First-principles (GGA-PBE) data for a geometry-optimized KEu2Au structure, as listed in Alexandria via LeMat-Bulk.

Structure (extended XYZ):
```
4
Lattice="3.8509 0.0000 0.0000 0.0000 3.8509 0.0000 0.0000 0.0000 10.6556" Properties=species:S:1:pos:R:3 pbc="T T T"
K 0.0000 0.0000 0.0000
Eu 1.9254 1.9254 3.5870
Eu 1.9254 1.9254 7.0686
Au 0.0000 0.0000 5.3278
```

Calculated density   5.67 g cm⁻³

ii) First-principles (GGA-PBE) data for a geometry-optimized KEu2Au structure, as listed in Alexandria via LeMat-Bulk.

Structure (extended XYZ):
```
4
Lattice="2.1911 1.2651 11.6505 -2.1911 1.2651 11.6505 0.0000 -2.5301 11.6505" Properties=species:S:1:pos:R:3 pbc="T T T"
K 0.0000 0.0000 0.0000
Eu 0.0000 0.0000 4.1384
Eu 0.0000 0.0000 30.8130
Au 0.0000 0.0000 17.4757
```

Calculated density   4.63 g cm⁻³

Quick one: least stable of them? ii)

i) First-principles (GGA-PBE) data for a geometry-optimized KEuAu2 structure, as listed in Alexandria via LeMat-Bulk.

Structure (extended XYZ):
```
4
Lattice="0.0000 3.8165 3.8165 3.8165 0.0000 3.8165 3.8165 3.8165 0.0000" Properties=species:S:1:pos:R:3 pbc="T T T"
K 0.0000 0.0000 0.0000
Eu 3.8165 3.8165 3.8165
Au 1.9083 1.9083 1.9083
Au 5.7248 5.7248 5.7248
```

Calculated density   8.74 g cm⁻³

ii) First-principles (GGA-PBE) data for a geometry-optimized KEuAu2 structure, as listed in Alexandria via LeMat-Bulk.

Structure (extended XYZ):
```
4
Lattice="2.1982 1.2691 8.0301 -2.1982 1.2691 8.0301 0.0000 -2.5382 8.0301" Properties=species:S:1:pos:R:3 pbc="T T T"
K 0.0000 0.0000 0.0000
Eu 0.0000 0.0000 12.0452
Au 0.0000 0.0000 5.7597
Au 0.0000 0.0000 18.3306
```

Calculated density   7.23 g cm⁻³

Quick one: least stable of them? ii)

i) First-principles (GGA-PBE) data for a geometry-optimized LaEu2Au structure, as listed in Alexandria via LeMat-Bulk.

Structure (extended XYZ):
```
4
Lattice="1.9692 1.1369 10.5825 -1.9692 1.1369 10.5825 0.0000 -2.2739 10.5825" Properties=species:S:1:pos:R:3 pbc="T T T"
La 0.0000 0.0000 0.0000
Eu 0.0000 0.0000 7.3606
Eu 0.0000 0.0000 24.3869
Au 0.0000 0.0000 15.8738
```

Calculated density   7.47 g cm⁻³

ii) First-principles (GGA-PBE) data for a geometry-optimized LaEu2Au structure, as listed in Alexandria via LeMat-Bulk.

Structure (extended XYZ):
```
4
Lattice="3.7719 0.0000 0.0000 0.0000 3.7719 0.0000 0.0000 0.0000 9.2706" Properties=species:S:1:pos:R:3 pbc="T T T"
La 0.0000 0.0000 0.0000
Eu 1.8859 1.8859 2.8433
Eu 1.8859 1.8859 6.4274
Au 0.0000 0.0000 4.6353
```

Calculated density   8.06 g cm⁻³

Quick one: least stable of them? i)

i) First-principles (GGA-PBE) data for a geometry-optimized Li2EuAu structure, as listed in Alexandria via LeMat-Bulk.

Structure (extended XYZ):
```
4
Lattice="3.6491 0.0000 0.0000 0.0000 3.6491 0.0000 0.0000 0.0000 6.5828" Properties=species:S:1:pos:R:3 pbc="T T T"
Li 0.0000 0.0000 1.1674
Li 0.0000 0.0000 5.4154
Eu 1.8246 1.8246 3.2914
Au 1.8246 1.8246 0.0000
```

Calculated density   6.87 g cm⁻³

ii) First-principles (GGA-PBE) data for a geometry-optimized Li2EuAu structure, as listed in Alexandria via LeMat-Bulk.

Structure (extended XYZ):
```
4
Lattice="0.0000 3.4554 3.4554 3.4554 0.0000 3.4554 3.4554 3.4554 0.0000" Properties=species:S:1:pos:R:3 pbc="T T T"
Li 1.7277 1.7277 1.7277
Li 5.1831 5.1831 5.1831
Eu 0.0000 0.0000 0.0000
Au 3.4554 3.4554 3.4554
```

Calculated density   7.30 g cm⁻³

Quick one: least stable of them? i)